1.
Compound: SrMgIr2
Source: Alexandria
Functional: GGA-PBEsol
Structure: relaxed

Results
density: 11.2 g/cm³
space-group type: F-43m
energy of formation from the pure elements: 354 meV/atom
calculated total energy: -21.79 eV per formula unit

a = 6.6521 Å, b = 6.6521 Å, c = 6.6521 Å
α = 90.00°, β = 90.00°, γ = 90.00°
Last column: nearest neighbours and their distance in Å.
Atoms (fractional coordinates):
Sr: 0.0000 0.0000 0.0000  4 Ir 2.88, 4 Mg 2.88
Sr: 0.0000 0.5000 0.5000  4 Ir 2.88, 4 Mg 2.88
Sr: 0.5000 0.0000 0.5000  4 Ir 2.88, 4 Mg 2.88
Sr: 0.5000 0.5000 0.0000  4 Ir 2.88, 4 Mg 2.88
Mg: 0.2500 0.2500 0.2500  4 Ir 2.88, 4 Sr 2.88
Mg: 0.2500 0.7500 0.7500  4 Ir 2.88, 4 Sr 2.88
Mg: 0.7500 0.2500 0.7500  4 Ir 2.88, 4 Sr 2.88
Mg: 0.7500 0.7500 0.2500  4 Ir 2.88, 4 Sr 2.88
Ir: 0.0000 0.0000 0.5000  4 Mg 2.88, 4 Ir 2.88
Ir: 0.0000 0.5000 0.0000  4 Mg 2.88, 4 Ir 2.88
Ir: 0.2500 0.2500 0.7500  4 Ir 2.88, 4 Sr 2.88
Ir: 0.2500 0.7500 0.2500  4 Ir 2.88, 4 Sr 2.88
Ir: 0.5000 0.0000 0.0000  4 Mg 2.88, 4 Ir 2.88
Ir: 0.5000 0.5000 0.5000  4 Mg 2.88, 4 Ir 2.88
Ir: 0.7500 0.2500 0.2500  4 Ir 2.88, 4 Sr 2.88
Ir: 0.7500 0.7500 0.7500  4 Sr 2.88, 4 Ir 2.88

2.
Compound: KBSCl2
Source: Alexandria
Functional: GGA-PBEsol
Structure: relaxed

Results
density: 1.4 g/cm³
energy relative to the lowest polymorph listed for this composition: 1.5537 eV/atom
space-group type: P4/mmm
E_form (uncorrected): 1.1500 eV per atom
calculated total energy: -10.80 eV per formula unit

a = 5.6374 Å, b = 5.6374 Å, c = 5.5817 Å
α = 90.00°, β = 90.00°, γ = 90.00°
Last column: nearest neighbours and their distance in Å.
Atoms (fractional coordinates):
K: 0.0000 0.0000 0.0000  2 S 2.79, 4 Cl 2.82
B: 0.5000 0.5000 0.5000  8 Cl 3.97, 4 S 3.99
S: 0.0000 0.0000 0.5000  2 K 2.79
Cl: 0.0000 0.5000 0.0000  2 K 2.82
Cl: 0.5000 0.0000 0.0000  2 K 2.82

3.
Compound: TlRuSe2N
Source: Alexandria
Functional: GGA-PBEsol
Structure: relaxed

Results
density: 6.9 g/cm³
space-group type: P4/mmm
E_form (uncorrected): 1.9168 eV per atom
calculated total energy: -19.45 eV per formula unit

a = 5.3096 Å, b = 5.3096 Å, c = 4.0572 Å
α = 90.00°, β = 90.00°, γ = 90.00°
Last column: nearest neighbours and their distance in Å.
Atoms (fractional coordinates):
Tl: 0.0000 0.0000 0.0000  2 N 2.03
Ru: 0.5000 0.5000 0.5000  8 Se 3.34
Se: 0.0000 0.5000 0.0000  2 Tl 2.65
Se: 0.5000 0.0000 0.0000  2 Tl 2.65
N: 0.0000 0.0000 0.5000  2 Tl 2.03

4.
Compound: Tc2MoSCl
Source: Alexandria
Functional: GGA-PBEsol
Structure: relaxed

Results
density: 7.2 g/cm³
space-group type: P4/mmm
E_form (uncorrected): 1.6898 eV per atom
calculated total energy: -32.24 eV per formula unit

a = 4.2150 Å, b = 4.2150 Å, c = 4.6846 Å
α = 90.00°, β = 90.00°, γ = 90.00°
Last column: nearest neighbours and their distance in Å.
Atoms (fractional coordinates):
Tc: 0.0000 0.5000 0.0000  2 Cl 2.11
Tc: 0.5000 0.0000 0.0000  2 Cl 2.11
Mo: 0.0000 0.0000 0.5000  4 S 2.98, 8 Tc 3.15
S: 0.5000 0.5000 0.5000  2 Cl 2.34
Cl: 0.5000 0.5000 0.0000  4 Tc 2.11, 2 S 2.34

5.
Compound: Ga2IrF
Source: Alexandria
Functional: GGA-PBEsol
Structure: relaxed

Results
density: 10.6 g/cm³
space-group type: Fm-3m
E_form (uncorrected): -0.5297 eV per atom
calculated total energy: -20.55 eV per formula unit

a = 6.0270 Å, b = 6.0270 Å, c = 6.0270 Å
α = 90.00°, β = 90.00°, γ = 90.00°
Last column: nearest neighbours and their distance in Å.
Atoms (fractional coordinates):
Ga: 0.2500 0.2500 0.2500  4 F 2.61, 4 Ir 2.61
Ga: 0.2500 0.2500 0.7500  4 F 2.61, 4 Ir 2.61
Ga: 0.2500 0.7500 0.2500  4 F 2.61, 4 Ir 2.61
Ga: 0.2500 0.7500 0.7500  4 F 2.61, 4 Ir 2.61
Ga: 0.7500 0.2500 0.2500  4 F 2.61, 4 Ir 2.61
Ga: 0.7500 0.2500 0.7500  4 F 2.61, 4 Ir 2.61
Ga: 0.7500 0.7500 0.2500  4 F 2.61, 4 Ir 2.61
Ga: 0.7500 0.7500 0.7500  4 F 2.61, 4 Ir 2.61
Ir: 0.0000 0.0000 0.0000  8 Ga 2.61
Ir: 0.0000 0.5000 0.5000  8 Ga 2.61
Ir: 0.5000 0.0000 0.5000  8 Ga 2.61
Ir: 0.5000 0.5000 0.0000  8 Ga 2.61
F: 0.0000 0.0000 0.5000  8 Ga 2.61
F: 0.0000 0.5000 0.0000  8 Ga 2.61
F: 0.5000 0.0000 0.0000  8 Ga 2.61
F: 0.5000 0.5000 0.5000  8 Ga 2.61

6.
Compound: MnWCl
Source: Alexandria
Functional: GGA-PBEsol
Structure: relaxed

Results
density: 10.1 g/cm³
energy relative to the lowest polymorph listed for this composition: 0.0000 eV/atom
space-group type: P3m1
E_form (uncorrected): 0.3551 eV per atom
calculated total energy: -24.51 eV per formula unit

a = 2.9853 Å, b = 2.9853 Å, c = 5.8312 Å
α = 90.00°, β = 90.00°, γ = 120.00°
Last column: nearest neighbours and their distance in Å.
Atoms (fractional coordinates):
Mn: 0.0000 0.0000 0.0000  3 W 2.42, 3 Cl 2.57
W: 0.6667 0.3333 0.7093  3 Mn 2.42
Cl: 0.3333 0.6667 0.3281  3 Mn 2.57, 3 W 2.81

7.
Compound: Y3Al3NiGe2
Source: Alexandria
Functional: GGA-PBEsol
Structure: relaxed

Results
density: 5.4 g/cm³
space-group type: P-62m
energy of formation from the pure elements: -799 meV/atom
calculated total energy: -55.97 eV per formula unit

a = 6.8720 Å, b = 6.8720 Å, c = 4.1290 Å
α = 90.00°, β = 90.00°, γ = 120.00°
Last column: nearest neighbours and their distance in Å.
Atoms (fractional coordinates):
Y: 0.0000 0.4043 0.0000  1 Ni 2.78, 4 Ge 2.94
Y: 0.4043 0.0000 0.0000  1 Ni 2.78, 4 Ge 2.94
Y: 0.5957 0.5957 0.0000  1 Ni 2.78, 4 Ge 2.94
Al: 0.0000 0.7713 0.5000  2 Ni 2.59, 2 Al 2.72, 2 Ge 2.72
Al: 0.2287 0.2287 0.5000  2 Ni 2.59, 2 Al 2.72, 2 Ge 2.72
Al: 0.7713 0.0000 0.5000  2 Ni 2.59, 2 Al 2.72, 2 Ge 2.72
Ni: 0.0000 0.0000 0.0000  6 Al 2.59, 3 Y 2.78
Ge: 0.3333 0.6667 0.5000  3 Al 2.72, 6 Y 2.94
Ge: 0.6667 0.3333 0.5000  3 Al 2.72, 6 Y 2.94

8.
Compound: SrMoPt2
Source: Alexandria
Functional: GGA-PBEsol
Structure: relaxed

Results
density: 12.9 g/cm³
space-group type: Fm-3m
energy of formation from the pure elements: 274 meV/atom
calculated total energy: -26.44 eV per formula unit

a = 6.6672 Å, b = 6.6672 Å, c = 6.6672 Å
α = 90.00°, β = 90.00°, γ = 90.00°
Last column: nearest neighbours and their distance in Å.
Atoms (fractional coordinates):
Sr: 0.0000 0.0000 0.0000  8 Pt 2.89
Sr: 0.0000 0.5000 0.5000  8 Pt 2.89
Sr: 0.5000 0.0000 0.5000  8 Pt 2.89
Sr: 0.5000 0.5000 0.0000  8 Pt 2.89
Mo: 0.0000 0.0000 0.5000  8 Pt 2.89
Mo: 0.0000 0.5000 0.0000  8 Pt 2.89
Mo: 0.5000 0.0000 0.0000  8 Pt 2.89
Mo: 0.5000 0.5000 0.5000  8 Pt 2.89
Pt: 0.2500 0.2500 0.2500  4 Mo 2.89, 4 Sr 2.89
Pt: 0.2500 0.2500 0.7500  4 Mo 2.89, 4 Sr 2.89
Pt: 0.2500 0.7500 0.2500  4 Mo 2.89, 4 Sr 2.89
Pt: 0.2500 0.7500 0.7500  4 Mo 2.89, 4 Sr 2.89
Pt: 0.7500 0.2500 0.2500  4 Mo 2.89, 4 Sr 2.89
Pt: 0.7500 0.2500 0.7500  4 Mo 2.89, 4 Sr 2.89
Pt: 0.7500 0.7500 0.2500  4 Mo 2.89, 4 Sr 2.89
Pt: 0.7500 0.7500 0.7500  4 Mo 2.89, 4 Sr 2.89

9.
Compound: Re2BIrI
Source: Alexandria
Functional: GGA-PBEsol
Structure: relaxed

Results
density: 9.6 g/cm³
space-group type: P4/mmm
E_form (uncorrected): 2.9700 eV per atom
calculated total energy: -30.42 eV per formula unit

a = 4.7325 Å, b = 4.7325 Å, c = 5.4317 Å
α = 90.00°, β = 90.00°, γ = 90.00°
Last column: nearest neighbours and their distance in Å.
Atoms (fractional coordinates):
Re: 0.0000 0.5000 0.0000  2 Ir 2.37
Re: 0.5000 0.0000 0.0000  2 Ir 2.37
B: 0.0000 0.0000 0.5000  4 I 3.35, 8 Re 3.60
Ir: 0.5000 0.5000 0.0000  4 Re 2.37
I: 0.5000 0.5000 0.5000  2 Ir 2.72

10.
Compound: Zr2MoRh
Source: Alexandria
Functional: GGA-PBEsol
Structure: relaxed

Results
density: 8.8 g/cm³
space-group type: R-3m
energy of formation from the pure elements: -66 meV/atom
calculated total energy: -38.35 eV per formula unit

a = 3.1752 Å, b = 3.1752 Å, c = 24.7193 Å
α = 90.00°, β = 90.00°, γ = 120.00°
Last column: nearest neighbours and their distance in Å.
Atoms (fractional coordinates):
Zr: 0.0000 0.0000 0.2504  3 Rh 2.75, 3 Mo 2.76
Zr: 0.0000 0.0000 0.7496  3 Rh 2.75, 3 Mo 2.76
Zr: 0.3333 0.6667 0.4163  3 Rh 2.75, 3 Mo 2.76
Zr: 0.3333 0.6667 0.9171  3 Rh 2.75, 3 Mo 2.76
Zr: 0.6667 0.3333 0.0829  3 Rh 2.75, 3 Mo 2.76
Zr: 0.6667 0.3333 0.5837  3 Rh 2.75, 3 Mo 2.76
Mo: 0.0000 0.0000 0.5000  6 Zr 2.76
Mo: 0.3333 0.6667 0.1667  6 Zr 2.76
Mo: 0.6667 0.3333 0.8333  6 Zr 2.76
Rh: 0.0000 0.0000 0.0000  6 Zr 2.75
Rh: 0.3333 0.6667 0.6667  6 Zr 2.75
Rh: 0.6667 0.3333 0.3333  6 Zr 2.75

11.
Compound: LaIr2Se
Source: Alexandria
Functional: GGA-PBEsol
Structure: relaxed

Results
density: 12.4 g/cm³
energy relative to the lowest polymorph listed for this composition: 0.0000 eV/atom
space-group type: R3m
E_form (uncorrected): -0.3873 eV per atom
calculated total energy: -30.39 eV per formula unit

a = 4.0407 Å, b = 4.0407 Å, c = 17.1735 Å
α = 90.00°, β = 90.00°, γ = 120.00°
Last column: nearest neighbours and their distance in Å.
Atoms (fractional coordinates):
La: 0.0000 0.0000 0.0000  3 Ir 2.84, 3 Se 3.05
La: 0.3333 0.6667 0.6667  3 Ir 2.84, 3 Se 3.05
La: 0.6667 0.3333 0.3333  3 Ir 2.84, 3 Se 3.05
Ir: 0.0000 0.0000 0.4896  3 Ir 2.56, 3 Se 2.57
Ir: 0.0000 0.0000 0.7609  3 Ir 2.56, 3 La 2.84
Ir: 0.3333 0.6667 0.1562  3 Ir 2.56, 3 Se 2.57
Ir: 0.3333 0.6667 0.4276  3 Ir 2.56, 3 La 2.84
Ir: 0.6667 0.3333 0.0942  3 Ir 2.56, 3 La 2.84
Ir: 0.6667 0.3333 0.8229  3 Ir 2.56, 3 Se 2.57
Se: 0.0000 0.0000 0.2188  3 Ir 2.57
Se: 0.3333 0.6667 0.8855  3 Ir 2.57
Se: 0.6667 0.3333 0.5522  3 Ir 2.57

12.
Compound: CaSnGe2O6
Source: Alexandria
Functional: GGA-PBEsol
Structure: relaxed

Results
density: 4.7 g/cm³
space-group type: C2/c
E_form (uncorrected): -1.8809 eV per atom
calculated total energy: -66.58 eV per formula unit

a = 7.2443 Å, b = 7.2443 Å, c = 5.5120 Å
α = 99.38°, β = 99.38°, γ = 84.51°
Last column: nearest neighbours and their distance in Å.
Atoms (fractional coordinates):
Ca: 0.1688 0.8312 0.7500  4 O 2.26-2.36
Ca: 0.8312 0.1688 0.2500  4 O 2.26-2.36
Sn: 0.3934 0.6066 0.2500  4 O 2.12-2.36
Sn: 0.6066 0.3934 0.7500  4 O 2.12-2.36
Ge: 0.1048 0.3171 0.7750  4 O 1.71-1.86
Ge: 0.3171 0.1048 0.2750  4 O 1.71-1.86
Ge: 0.6829 0.8952 0.7250  4 O 1.71-1.86
Ge: 0.8952 0.6829 0.2250  4 O 1.71-1.86
O: 0.1267 0.6588 0.3665  1 Ge 1.74
O: 0.1327 0.1782 0.0264  2 Ge 1.82-1.86
O: 0.1782 0.1327 0.5264  2 Ge 1.82-1.86
O: 0.2064 0.5268 0.8620  1 Ge 1.71
O: 0.3412 0.8733 0.1335  1 Ge 1.74
O: 0.4732 0.7936 0.6380  1 Ge 1.71
O: 0.5268 0.2064 0.3620  1 Ge 1.71
O: 0.6588 0.1267 0.8665  1 Ge 1.74
O: 0.7936 0.4732 0.1380  1 Ge 1.71
O: 0.8218 0.8673 0.4736  2 Ge 1.82-1.86
O: 0.8673 0.8218 0.9736  2 Ge 1.82-1.86
O: 0.8733 0.3412 0.6335  1 Ge 1.74